1.
# LaGdSiAg

A relaxed LaGdSiAg crystal (PBE-GGA, Alexandria).

Cell: 7.3705 7.3705 7.3705 Å, 90.00 90.00 90.00°
Last column: nearest neighbours and their distance in Å.
Space group F-43m (No. 216)
One atom of each set of equivalent atoms:
La 0.0000 0.0000 0.0000  4 Si 3.19, 4 Ag 3.19
Gd 0.0000 0.0000 0.5000  4 Si 3.19, 4 Ag 3.19
Si 0.2500 0.2500 0.2500  4 Gd 3.19, 4 La 3.19
Ag 0.2500 0.2500 0.7500  4 Gd 3.19, 4 La 3.19

The uncorrected formation energy is -440 meV per atom.


2.
# Sr8Li

A relaxed Sr8Li crystal (PBE-GGA, Alexandria).

Cell: 14.1117 14.1117 4.6112 Å, 90.00 90.00 90.00°
Last column: nearest neighbours and their distance in Å.
Space group I4/mmm (No. 139)
One atom of each set of equivalent atoms:
Sr 0.0000 0.3356 0.0000  8 Sr 4.01-4.07
Sr 0.1572 0.1572 0.5000  2 Li 3.89, 4 Sr 4.07
Li 0.0000 0.0000 0.0000  8 Sr 3.89

As for the energy relative to the elements: 0.028 eV/atom.


3.
# Ba2YMgSc

A relaxed Ba2YMgSc crystal (PBE-GGA, Alexandria).

Cell: 6.4830 6.4830 5.4822 Å, 90.00 90.00 90.00°
Last column: nearest neighbours and their distance in Å.
Space group P4/mmm (No. 123)
One atom of each set of equivalent atoms:
Ba 0.0000 0.5000 0.0000  2 Y 3.24
Y 0.0000 0.0000 0.0000  2 Sc 2.74
Mg 0.5000 0.5000 0.5000  8 Ba 4.25, 4 Sc 4.58
Sc 0.0000 0.0000 0.5000  2 Y 2.74

As for the energy relative to the elements: 0.774 eV/atom.


4.
# Dy2ThMg6

A relaxed Dy2ThMg6 crystal (PBE-GGA, Alexandria).

Cell: 9.0815 9.0815 3.3130 Å, 90.00 90.00 120.00°
Last column: nearest neighbours and their distance in Å.
Space group P6/mmm (No. 191)
One atom of each set of equivalent atoms:
Dy 0.3333 0.6667 0.0000  2 Dy 3.31, 12 Mg 3.44
Th 0.0000 0.0000 0.0000  2 Th 3.31, 12 Mg 3.47
Mg 0.0000 0.3355 0.5000  5 Mg 2.99-3.31

As for the energy relative to the elements: -0.035 eV/atom.


5.
# CaAg2Rh

A relaxed CaAg2Rh crystal (PBE-GGA, Alexandria).

Cell: 4.1406 4.1406 8.8553 Å, 90.00 90.00 90.00°
Last column: nearest neighbours and their distance in Å.
Space group I4/mmm (No. 139)
One atom of each set of equivalent atoms:
Ca 0.0000 0.0000 0.0000  4 Rh 2.93, 8 Ag 3.03
Ag 0.0000 0.5000 0.2500  4 Ag 2.93, 4 Ca 3.03, 4 Rh 3.03
Rh 0.0000 0.0000 0.5000  4 Ca 2.93, 8 Ag 3.03

As for the energy relative to the elements: -0.112 eV/atom.


6.
# HoZrBeCu

A relaxed HoZrBeCu crystal (PBE-GGA, Alexandria).

Cell: 6.6583 6.6583 6.6583 Å, 90.00 90.00 90.00°
Last column: nearest neighbours and their distance in Å.
Space group F-43m (No. 216)
One atom of each set of equivalent atoms:
Ho 0.0000 0.0000 0.0000  4 Cu 2.88, 4 Be 2.88
Zr 0.0000 0.0000 0.5000  4 Be 2.88, 4 Cu 2.88
Be 0.2500 0.2500 0.2500  4 Ho 2.88, 4 Zr 2.88
Cu 0.2500 0.2500 0.7500  4 Zr 2.88, 4 Ho 2.88

As for the energy relative to the elements: 0.004 eV/atom.


7.
# Ce5Pu2Rh2

A relaxed Ce5Pu2Rh2 crystal (PBE-GGA, Alexandria).

Cell: 14.1443 3.2368 9.5007 Å, 90.00 104.09 90.00°
Last column: nearest neighbours and their distance in Å.
Space group C2/m (No. 12)
One atom of each set of equivalent atoms:
Ce 0.0000 0.0000 0.0000  2 Pu 2.79, 4 Rh 3.09
Ce 0.1179 0.0000 0.5094  3 Ce 2.91-3.24, 2 Rh 2.91, 1 Pu 3.01
Ce 0.1828 0.0000 0.8244  2 Pu 2.74, 1 Ce 2.91, 2 Rh 3.01
Pu 0.1707 0.0000 0.2210  4 Ce 2.74-3.01, 2 Rh 3.05
Rh 0.0007 0.5000 0.2767  6 Ce 2.91-3.09, 2 Pu 3.05, 2 Rh 3.24

As for the energy relative to the elements: -0.179 eV/atom.


8.
# TaOs2Pt

A relaxed TaOs2Pt crystal (PBE-GGA, Alexandria).

Cell: 6.3110 6.3110 6.3110 Å, 90.00 90.00 90.00°
Last column: nearest neighbours and their distance in Å.
Space group Fm-3m (No. 225)
One atom of each set of equivalent atoms:
Ta 0.0000 0.0000 0.0000  8 Os 2.73
Os 0.2500 0.2500 0.2500  4 Ta 2.73, 4 Pt 2.73
Pt 0.0000 0.0000 0.5000  8 Os 2.73

As for the energy relative to the elements: 0.117 eV/atom.


9.
# Pr2ZnAs3Rh4

A relaxed Pr2ZnAs3Rh4 crystal (PBE-GGA, Alexandria).

Cell: 4.2539 4.2539 10.2102 Å, 90.00 90.00 90.00°
Last column: nearest neighbours and their distance in Å.
Space group P-4m2 (No. 115)
One atom of each set of equivalent atoms:
Pr 0.0000 0.5000 0.2466  6 As 3.24-3.30, 8 Rh 3.24-3.35, 2 Zn 3.30
Zn 0.5000 0.5000 0.0000  4 Rh 2.49
As 0.0000 0.0000 0.0000  4 Rh 2.49
As 0.0000 0.5000 0.6357  5 Rh 2.42-2.54
Rh 0.0000 0.0000 0.5000  4 As 2.54
Rh 0.0000 0.5000 0.8725  3 As 2.42-2.49, 2 Zn 2.49
Rh 0.5000 0.5000 0.5000  4 As 2.54

As for the energy relative to the elements: -0.881 eV/atom.


10.
# UCrCoP2

A relaxed UCrCoP2 crystal (PBE-GGA, Alexandria).

Cell: 3.8694 3.8694 9.4851 Å, 90.00 90.00 90.00°
Last column: nearest neighbours and their distance in Å.
Space group I-4m2 (No. 119)
One atom of each set of equivalent atoms:
U 0.0000 0.0000 0.0000  8 P 2.99, 4 Cr 3.06, 4 Co 3.06
Cr 0.0000 0.5000 0.2500  4 P 2.25
Co 0.0000 0.5000 0.7500  4 P 2.25
P 0.0000 0.0000 0.3719  2 Cr 2.25, 2 Co 2.25, 1 P 2.43

As for the energy relative to the elements: -0.706 eV/atom.


11.
# AlOs

A relaxed AlOs crystal (PBE-GGA, Alexandria).

Cell: 5.6247 5.6247 5.6247 Å, 90.00 90.00 90.00°
Last column: nearest neighbours and their distance in Å.
Space group F-43m (No. 216)
One atom of each set of equivalent atoms:
Al 0.0000 0.0000 0.0000  4 Os 2.44
Os 0.2500 0.2500 0.7500  4 Al 2.44

As for the energy relative to the elements: 1.531 eV/atom.


12.
# BaPrAs2Pd2

A relaxed BaPrAs2Pd2 crystal (PBE-GGA, Alexandria).

Cell: 4.3947 4.3947 8.7661 Å, 90.00 90.00 120.00°
Last column: nearest neighbours and their distance in Å.
Space group P-3m1 (No. 164)
One atom of each set of equivalent atoms:
Ba 0.0000 0.0000 0.0000  6 Pd 3.49, 6 As 3.50
Pr 0.0000 0.0000 0.5000  6 As 3.21, 6 Pd 3.23
As 0.3333 0.6667 0.2755  3 Pd 2.54
Pd 0.3333 0.6667 0.7274  3 As 2.54

As for the energy relative to the elements: -1.079 eV/atom.